YSiPb2Se PBE relaxed; total moment = 0.0000 μB per atom; energy relative to the elements, uncorrected = 174 meV/atom; space group = P4/mmm, No. 123
1.0
5.404 0.000 0.000
0.000 5.404 0.000
0.000 0.000 5.938
Y Si Pb Se
1 1 2 1
direct
0.000 0.000 0.000 Y
0.000 0.000 0.500 Si
0.000 0.500 0.500 Pb
0.500 0.000 0.500 Pb
0.500 0.500 0.000 Se